# 1
! LaTlW (GGA-PBE, optimized geometry); values from VASP
! DOS(E_F) (states/eV/atom): 0.817
! VASP energy (eV/atom): -5.9992
&SYSTEM
  ibrav = 0, nat = 3, ntyp = 3
/
ATOMIC_SPECIES
La 138.91 La.upf
Tl 204.38 Tl.upf
W 183.84 W.upf
CELL_PARAMETERS angstrom
-0.525 2.903 0.993
0.559 -2.270 2.055
8.180 1.626 -0.428
ATOMIC_POSITIONS crystal
La 0.000 0.000 0.989
Tl 0.667 0.333 0.357
W 0.333 0.667 0.654

# 2
! LaTl2W (GGA-PBE, optimized geometry); values from VASP
! DOS(E_F) (states/eV/atom): 0.830
! VASP energy (eV/atom): -5.1284
&SYSTEM
  ibrav = 0, nat = 4, ntyp = 3
/
ATOMIC_SPECIES
La 138.91 La.upf
Tl 204.38 Tl.upf
W 183.84 W.upf
CELL_PARAMETERS angstrom
-1.239 4.620 -2.799
-5.439 0.842 0.647
3.940 -0.928 3.784
ATOMIC_POSITIONS crystal
La 0.750 0.250 0.500
Tl 0.000 0.000 0.000
Tl 0.500 0.500 0.000
W 0.250 0.750 0.500

Number 1: calculated formation energy 0.7497 eV per atom, excess energy over the best structure of this formula in the dataset 107.2 meV per atom. Number 2: calculated formation energy 0.5249 eV per atom, excess energy over the best structure of this formula in the dataset 22.4 meV per atom.